Entry 1:
{
  "formula": "BaAlTe2",
  "functional": "PBE-GGA",
  "state": "optimized geometry",
  "cell": [[8.5476, -0.0393, -0.0238], [7.3291, 4.3986, -0.0238], [7.3291, 2.0124, 3.9113]],
  "species": ["Te", "Te", "Ba", "Al"],
  "fractional_positions": [[0.0025, 0.0025, 0.0025], [0.2278, 0.2278, 0.2278], [0.7507, 0.7507, 0.7507], [0.5190, 0.5190, 0.5190]],
  "e_form_raw_ev_per_atom": -0.466,
  "dos_at_fermi_per_ev_cell": 3.347,
  "m_tot_mub_per_fu": 0.000
}

***

Entry 2:
{
  "formula": "BaAl3Te",
  "functional": "PBE-GGA",
  "state": "optimized geometry",
  "cell": [[-2.4034, -0.3315, 4.9697], [-0.8503, -5.4097, -0.7721], [4.9076, -1.0997, 2.3000]],
  "species": ["Te", "Ba", "Al", "Al", "Al"],
  "fractional_positions": [[0.0000, 0.0000, 0.0000], [0.5000, 0.5000, 0.5000], [0.0000, 0.5000, 0.0000], [0.0000, 0.0000, 0.5000], [0.5000, 0.0000, 0.0000]],
  "polymorph_energy_mev_per_atom": 0,
  "e_form_raw_ev_per_atom": 0.424,
  "dos_at_fermi_per_ev_cell": 4.596,
  "m_tot_mub_per_fu": 0.000
}

***

Entry 3:
{
  "formula": "BaAl2Te2",
  "functional": "PBE-GGA",
  "state": "optimized geometry",
  "cell": [[-1.7726, -3.3595, 1.5303], [1.0499, -2.0863, -3.3639], [7.5040, -5.0870, 3.0042]],
  "species": ["Te", "Te", "Ba", "Al", "Al"],
  "fractional_positions": [[0.3858, 0.3858, 0.2284], [0.6142, 0.6142, 0.7716], [0.0000, 0.0000, 0.0000], [0.7500, 0.2500, 0.5000], [0.2500, 0.7500, 0.5000]],
  "polymorph_energy_mev_per_atom": 109,
  "e_form_raw_ev_per_atom": -0.430,
  "dos_at_fermi_per_ev_cell": 2.031,
  "m_tot_mub_per_fu": 0.000
}

***

Entry 4:
{
  "formula": "Ba4AlTe",
  "functional": "PBE-GGA",
  "state": "optimized geometry",
  "cell": [[0.0000, 5.0792, 5.0792], [5.0792, 0.0000, 5.0792], [5.0792, 5.0792, 0.0000]],
  "species": ["Ba", "Ba", "Ba", "Ba", "Al", "Te"],
  "fractional_positions": [[0.8726, 0.3758, 0.3758], [0.3758, 0.3758, 0.8726], [0.3758, 0.8726, 0.3758], [0.3758, 0.3758, 0.3758], [0.0000, 0.0000, 0.0000], [0.7500, 0.7500, 0.7500]],
  "e_form_raw_ev_per_atom": 0.179,
  "dos_at_fermi_per_ev_cell": 9.251,
  "m_tot_mub_per_fu": 0.001
}

***

Entry 5:
{
  "formula": "BaAlTe2",
  "functional": "PBE-GGA",
  "state": "optimized geometry",
  "cell": [[-5.9967, 0.0882, -3.1866], [-4.0346, -5.4630, -0.0278], [3.5434, 3.7605, 4.4075]],
  "species": ["Te", "Te", "Ba", "Al"],
  "fractional_positions": [[0.0000, 0.0000, 0.0000], [0.2500, 0.7500, 0.5000], [0.7500, 0.2500, 0.5000], [0.5000, 0.5000, 0.0000]],
  "e_form_raw_ev_per_atom": -0.553,
  "dos_at_fermi_per_ev_cell": 3.367,
  "m_tot_mub_per_fu": 0.000
}

***

Entry 6:
{
  "formula": "Ba2TiAlTe5",
  "functional": "PBE-GGA",
  "state": "optimized geometry",
  "cell": [[4.4351, 0.0000, 0.0000], [-2.2176, 10.1341, 0.0000], [0.0000, 0.0000, 13.9637]],
  "species": ["Ba", "Ba", "Ba", "Ba", "Ti", "Ti", "Al", "Al", "Te", "Te", "Te", "Te", "Te", "Te", "Te", "Te", "Te", "Te"],
  "fractional_positions": [[0.8713, 0.7427, 0.8121], [0.1263, 0.2525, 0.6930], [0.1287, 0.2573, 0.3121], [0.8737, 0.7475, 0.1930], [0.7897, 0.5793, 0.5258], [0.2103, 0.4207, 0.0258], [0.5688, 0.1376, 0.9342], [0.4312, 0.8624, 0.4342], [0.3449, 0.6897, 0.0048], [0.6950, 0.3899, 0.8827], [0.5029, 0.0059, 0.7751], [0.2957, 0.5915, 0.6528], [0.9414, 0.8829, 0.5435], [0.6551, 0.3103, 0.5048], [0.3050, 0.6101, 0.3827], [0.4971, 0.9941, 0.2751], [0.7043, 0.4085, 0.1528], [0.0586, 0.1171, 0.0435]],
  "e_form_raw_ev_per_atom": -1.075,
  "dos_at_fermi_per_ev_cell": 6.513,
  "m_tot_mub_per_fu": 1.001
}

***

Entry 7:
{
  "formula": "Ba2AlTlTe4",
  "functional": "PBE-GGA",
  "state": "optimized geometry",
  "cell": [[-1.3966, -9.2913, 1.6256], [-0.2786, -1.5532, -9.4038], [7.4719, 4.3411, 3.8030]],
  "species": ["Ba", "Ba", "Ba", "Ba", "Al", "Al", "Tl", "Tl", "Te", "Te", "Te", "Te", "Te", "Te", "Te", "Te"],
  "fractional_positions": [[0.5000, 0.0000, 0.0000], [0.5000, 0.0000, 0.5000], [0.0000, 0.0000, 0.5000], [0.5000, 0.5000, 0.0000], [0.5000, 0.5000, 0.5000], [0.0000, 0.0000, 0.9999], [0.0000, 0.5000, 0.0000], [0.0000, 0.5000, 0.5000], [0.1963, 0.7958, 0.9960], [0.7042, 0.3037, 0.5040], [0.2958, 0.6963, 0.4960], [0.8037, 0.2042, 0.0040], [0.7514, 0.7480, 0.9753], [0.7520, 0.7486, 0.5247], [0.2481, 0.2514, 0.4753], [0.2486, 0.2520, 0.0247]],
  "e_form_raw_ev_per_atom": -0.861,
  "dos_at_fermi_per_ev_cell": 3.148,
  "m_tot_mub_per_fu": 0.000
}

***

Entry 8:
{
  "formula": "BaTmAlTe4",
  "functional": "PBE-GGA",
  "state": "optimized geometry",
  "cell": [[-0.3765, 7.1865, 0.8866], [-3.9161, 0.6061, -6.5756], [-7.4353, -3.6679, 4.0900]],
  "species": ["Ba", "Ba", "Tm", "Tm", "Al", "Al", "Te", "Te", "Te", "Te", "Te", "Te", "Te", "Te"],
  "fractional_positions": [[0.7784, 0.7500, 0.9490], [0.2216, 0.2500, 0.0510], [0.7692, 0.7500, 0.4425], [0.2308, 0.2500, 0.5575], [0.2325, 0.7500, 0.3296], [0.7675, 0.2500, 0.6704], [0.0158, 0.5097, 0.7154], [0.9842, 0.0097, 0.2846], [0.9842, 0.4903, 0.2846], [0.0158, 0.9903, 0.7154], [0.4285, 0.7500, 0.1363], [0.5715, 0.2500, 0.8637], [0.4606, 0.7500, 0.6016], [0.5394, 0.2500, 0.3984]],
  "e_form_raw_ev_per_atom": -1.102,
  "m_tot_mub_per_fu": 0.000
}

***

Entry 9:
{
  "formula": "BaThAl4",
  "functional": "PBE-GGA",
  "state": "optimized geometry",
  "cell": [[5.8214, 0.0000, 0.0000], [2.9107, 5.0415, 0.0000], [2.9107, 1.6805, 4.7532]],
  "species": ["Ba", "Th", "Al", "Al", "Al", "Al"],
  "fractional_positions": [[0.2500, 0.2500, 0.2500], [0.0000, 0.0000, 0.0000], [0.6255, 0.6255, 0.1235], [0.6255, 0.1235, 0.6255], [0.6255, 0.6255, 0.6255], [0.1235, 0.6255, 0.6255]],
  "dos_at_fermi_per_ev_cell": 3.672,
  "delta_e_f_mev_per_atom": -224.9,
  "m_tot_mub_per_fu": 0.000
}

***

Entry 10:
{
  "formula": "BaTiAl2",
  "functional": "PBE-GGA",
  "state": "optimized geometry",
  "cell": [[0.0000, 3.6305, 3.6305], [3.6305, 0.0000, 3.6305], [3.6305, 3.6305, 0.0000]],
  "species": ["Al", "Al", "Ba", "Ti"],
  "fractional_positions": [[0.2500, 0.2500, 0.2500], [0.7500, 0.7500, 0.7500], [0.5000, 0.5000, 0.5000], [0.0000, 0.0000, 0.0000]],
  "polymorph_energy_mev_per_atom": 0,
  "dos_at_fermi_per_ev_cell": 2.043,
  "delta_e_f_mev_per_atom": 299.4,
  "m_tot_mub_per_fu": 0.000
}

***

Entry 11:
{
  "formula": "Ba2TiAl",
  "functional": "PBE-GGA",
  "state": "optimized geometry",
  "cell": [[9.2549, 0.0000, 0.0000], [0.0000, 9.2549, 0.0000], [4.6275, 4.6275, 3.2712]],
  "species": ["Al", "Al", "Ba", "Ba", "Ba", "Ba", "Ti", "Ti"],
  "fractional_positions": [[0.5000, 0.5000, 0.0000], [0.2500, 0.7500, 0.5000], [0.6252, 0.1250, 0.2500], [0.1248, 0.6250, 0.2500], [0.3750, 0.3748, 0.7500], [0.8750, 0.8752, 0.7500], [0.0000, 0.0000, 0.0000], [0.7500, 0.2500, 0.5000]],
  "dos_at_fermi_per_ev_cell": 10.077,
  "delta_e_f_mev_per_atom": 706.7,
  "m_tot_mub_per_fu": 2.610
}

***

Entry 12:
{
  "formula": "BaTiAl3",
  "functional": "PBE-GGA",
  "state": "optimized geometry",
  "cell": [[5.5198, 0.0000, 0.0000], [0.0000, 5.5198, 0.0000], [0.0000, 0.0000, 5.5198]],
  "species": ["Al", "Al", "Al", "Ba", "Ti"],
  "fractional_positions": [[0.0000, 0.5000, 0.0000], [0.0000, 0.0000, 0.5000], [0.5000, 0.0000, 0.0000], [0.0000, 0.0000, 0.0000], [0.5000, 0.5000, 0.5000]],
  "polymorph_energy_mev_per_atom": 1753,
  "dos_at_fermi_per_ev_cell": 15.446,
  "delta_e_f_mev_per_atom": 1881.2,
  "m_tot_mub_per_fu": 0.000
}

***

Entry 13:
{
  "formula": "BaTi2Al2",
  "functional": "PBE-GGA",
  "state": "optimized geometry",
  "cell": [[-3.9379, 7.1515, 1.6074], [-4.6416, -1.0208, -6.8299], [-2.1169, -1.5408, 1.6690]],
  "species": ["Al", "Al", "Al", "Al", "Ba", "Ba", "Ti", "Ti", "Ti", "Ti"],
  "fractional_positions": [[0.3839, 0.8839, 0.0000], [0.8839, 0.6161, 0.0000], [0.6161, 0.1161, 0.0000], [0.1161, 0.3839, 0.0000], [0.0000, 0.0000, 0.0000], [0.5000, 0.5000, 0.0000], [0.1724, 0.6724, 0.5000], [0.6724, 0.8276, 0.5000], [0.8276, 0.3276, 0.5000], [0.3276, 0.1724, 0.5000]],
  "polymorph_energy_mev_per_atom": 140,
  "dos_at_fermi_per_ev_cell": 9.877,
  "delta_e_f_mev_per_atom": 148.2,
  "m_tot_mub_per_fu": 0.000
}

***

Entry 14:
{
  "formula": "BaTi2Al",
  "functional": "PBE-GGA",
  "state": "optimized geometry",
  "cell": [[-4.1287, 0.5591, 2.4555], [2.3130, -1.0228, 4.1221], [1.1778, 9.5979, 4.5576]],
  "species": ["Al", "Al", "Ba", "Ba", "Ti", "Ti", "Ti", "Ti"],
  "fractional_positions": [[0.5000, 0.5000, 0.0000], [0.2500, 0.7500, 0.5000], [0.0000, 0.0000, 0.0000], [0.7500, 0.2500, 0.5000], [0.3563, 0.1250, 0.2500], [0.3937, 0.6250, 0.2500], [0.3750, 0.6437, 0.7500], [0.8750, 0.6063, 0.7500]],
  "dos_at_fermi_per_ev_cell": 13.715,
  "delta_e_f_mev_per_atom": 667.9,
  "m_tot_mub_per_fu": 0.000
}

***

Entry 15:
{
  "formula": "BaTiAl3",
  "functional": "PBE-GGA",
  "state": "optimized geometry",
  "cell": [[-4.7498, 0.1588, -1.9626], [-1.9492, -1.1031, 4.6283], [-0.2781, 5.0195, 1.0792]],
  "species": ["Al", "Al", "Al", "Ba", "Ti"],
  "fractional_positions": [[0.0000, 0.5000, 0.0000], [0.0000, 0.0000, 0.5000], [0.5000, 0.0000, 0.0000], [0.5000, 0.5000, 0.5000], [0.0000, 0.0000, 0.0000]],
  "polymorph_energy_mev_per_atom": 0,
  "dos_at_fermi_per_ev_cell": 3.133,
  "delta_e_f_mev_per_atom": 128.2,
  "m_tot_mub_per_fu": 1.291
}

***

Entry 16:
{
  "formula": "BaTi2Al2",
  "functional": "PBE-GGA",
  "state": "optimized geometry",
  "cell": [[-7.8366, -1.7898, 2.8974], [3.3366, -2.5782, 7.4318], [-0.2383, 2.7753, 1.0698]],
  "species": ["Al", "Al", "Al", "Al", "Ba", "Ba", "Ti", "Ti", "Ti", "Ti"],
  "fractional_positions": [[0.1716, 0.6716, 0.5000], [0.6716, 0.8284, 0.5000], [0.8284, 0.3284, 0.5000], [0.3284, 0.1716, 0.5000], [0.0000, 0.0000, 0.0000], [0.5000, 0.5000, 0.0000], [0.3874, 0.8874, 0.0000], [0.8874, 0.6126, 0.0000], [0.6126, 0.1126, 0.0000], [0.1126, 0.3874, 0.0000]],
  "polymorph_energy_mev_per_atom": 0,
  "dos_at_fermi_per_ev_cell": 10.225,
  "delta_e_f_mev_per_atom": 8.5,
  "m_tot_mub_per_fu": 1.862
}

***

Entry 17:
{
  "formula": "BaTi2Al2",
  "functional": "PBE-GGA",
  "state": "optimized geometry",
  "cell": [[-0.9984, 3.1424, -2.8220], [1.8007, -2.3063, -3.2053], [-5.4349, -2.4969, -4.1947]],
  "species": ["Al", "Al", "Ba", "Ti", "Ti"],
  "fractional_positions": [[0.3812, 0.3812, 0.2376], [0.6188, 0.6188, 0.7624], [0.0000, 0.0000, 0.0000], [0.7500, 0.2500, 0.5000], [0.2500, 0.7500, 0.5000]],
  "polymorph_energy_mev_per_atom": 128,
  "dos_at_fermi_per_ev_cell": 5.857,
  "delta_e_f_mev_per_atom": 136.9,
  "m_tot_mub_per_fu": 1.987
}

***

Entry 18:
{
  "formula": "BaTiAl2",
  "functional": "PBE-GGA",
  "state": "optimized geometry",
  "cell": [[5.2611, 0.0000, 0.0000], [0.0000, 5.2611, 0.0000], [2.6306, 2.6306, 9.4262]],
  "species": ["Al", "Al", "Al", "Al", "Ba", "Ba", "Ti", "Ti"],
  "fractional_positions": [[0.3749, 0.1250, 0.2500], [0.3751, 0.6250, 0.2500], [0.3750, 0.6251, 0.7500], [0.8750, 0.6249, 0.7500], [0.0000, 0.0000, 0.0000], [0.7500, 0.2500, 0.5000], [0.5000, 0.5000, 0.0000], [0.2500, 0.7500, 0.5000]],
  "polymorph_energy_mev_per_atom": 79,
  "dos_at_fermi_per_ev_cell": 11.450,
  "delta_e_f_mev_per_atom": 378.6,
  "m_tot_mub_per_fu": 2.627
}

***

Entry 19:
{
  "formula": "Ba12AlTl6",
  "functional": "PBE-GGA",
  "state": "optimized geometry",
  "cell": [[-1.3703, 8.9655, 4.7259], [-4.8408, 1.9060, -8.8048], [-7.1330, -5.5862, 4.7440]],
  "species": ["Ba", "Ba", "Ba", "Ba", "Ba", "Ba", "Ba", "Ba", "Ba", "Ba", "Ba", "Ba", "Al", "Tl", "Tl", "Tl", "Tl", "Tl", "Tl"],
  "fractional_positions": [[0.8225, 0.5686, 0.4189], [0.4189, 0.8225, 0.5686], [0.5686, 0.4189, 0.8225], [0.1775, 0.4314, 0.5811], [0.5811, 0.1775, 0.4314], [0.4314, 0.5811, 0.1775], [0.0636, 0.9474, 0.3191], [0.0526, 0.6809, 0.9364], [0.6809, 0.9364, 0.0526], [0.9364, 0.0526, 0.6809], [0.9474, 0.3191, 0.0636], [0.3191, 0.0636, 0.9474], [0.0000, 0.0000, 0.0000], [0.6986, 0.8622, 0.3843], [0.6157, 0.3014, 0.1378], [0.1378, 0.6157, 0.3014], [0.3014, 0.1378, 0.6157], [0.3843, 0.6986, 0.8622], [0.8622, 0.3843, 0.6986]],
  "dos_at_fermi_per_ev_cell": 33.571,
  "delta_e_f_mev_per_atom": -113.5,
  "m_tot_mub_per_fu": 0.000
}

***

Entry 20:
{
  "formula": "Ba2AlTl2",
  "functional": "PBE-GGA",
  "state": "optimized geometry",
  "cell": [[7.9758, 0.0000, 0.0000], [0.0000, 7.9758, 0.0000], [0.0000, 0.0000, 5.5851]],
  "species": ["Tl", "Tl", "Tl", "Tl", "Ba", "Ba", "Ba", "Ba", "Al", "Al"],
  "fractional_positions": [[0.3600, 0.8600, 0.0000], [0.8600, 0.6400, 0.0000], [0.6400, 0.1400, 0.0000], [0.1400, 0.3600, 0.0000], [0.1732, 0.6732, 0.5000], [0.6732, 0.8268, 0.5000], [0.8268, 0.3268, 0.5000], [0.3268, 0.1732, 0.5000], [0.0000, 0.0000, 0.0000], [0.5000, 0.5000, 0.0000]],
  "dos_at_fermi_per_ev_cell": 10.392,
  "delta_e_f_mev_per_atom": -172.1,
  "m_tot_mub_per_fu": 0.000
}

***

Entry 21:
{
  "formula": "BaAlTl2",
  "functional": "PBE-GGA",
  "state": "optimized geometry",
  "cell": [[5.0093, 0.0000, 0.0000], [0.0000, 5.0061, 0.0000], [0.0000, 0.0000, 5.0204]],
  "species": ["Tl", "Tl", "Ba", "Al"],
  "fractional_positions": [[0.0000, 0.0000, 0.0000], [0.5000, 0.5000, 0.0000], [0.0000, 0.5000, 0.5000], [0.5000, 0.0000, 0.5000]],
  "dos_at_fermi_per_ev_cell": 4.219,
  "delta_e_f_mev_per_atom": -55.1,
  "m_tot_mub_per_fu": 0.000
}

***

Entry 22:
{
  "formula": "BaAlTl4",
  "functional": "PBE-GGA",
  "state": "optimized geometry",
  "cell": [[0.0000, 4.6101, 4.6101], [4.6101, 0.0000, 4.6101], [4.6101, 4.6101, 0.0000]],
  "species": ["Ba", "Al", "Tl", "Tl", "Tl", "Tl"],
  "fractional_positions": [[0.0000, 0.0000, 0.0000], [0.7500, 0.7500, 0.7500], [0.8724, 0.3759, 0.3759], [0.3759, 0.3759, 0.8724], [0.3759, 0.8724, 0.3759], [0.3759, 0.3759, 0.3759]],
  "dos_at_fermi_per_ev_cell": 3.283,
  "delta_e_f_mev_per_atom": 36.2,
  "m_tot_mub_per_fu": 0.000
}

***

Entry 23:
{
  "formula": "BaAlTl2",
  "functional": "PBE-GGA",
  "state": "optimized geometry",
  "cell": [[4.8495, 0.0000, 0.0000], [0.0000, 3.8886, 0.0937], [0.0000, 1.7577, 6.9479]],
  "species": ["Tl", "Tl", "Ba", "Al"],
  "fractional_positions": [[0.0000, 0.0291, 0.0674], [0.5000, 0.4371, 0.2485], [0.5000, 0.7042, 0.7193], [0.0000, 0.3296, 0.4648]],
  "dos_at_fermi_per_ev_cell": 1.919,
  "delta_e_f_mev_per_atom": -71.4,
  "m_tot_mub_per_fu": 0.000
}

***

Entry 24:
{
  "formula": "BaAlTl2",
  "functional": "PBE-GGA",
  "state": "optimized geometry",
  "cell": [[-2.6559, 2.4888, -4.3169], [-4.8980, 0.0284, 2.8094], [4.6549, 2.2713, 2.2487]],
  "species": ["Tl", "Tl", "Ba", "Al"],
  "fractional_positions": [[0.0000, 0.0000, 0.0000], [0.2500, 0.7500, 0.5000], [0.7500, 0.2500, 0.5000], [0.5000, 0.5000, 0.0000]],
  "dos_at_fermi_per_ev_cell": 2.261,
  "delta_e_f_mev_per_atom": -63.4,
  "m_tot_mub_per_fu": 0.000
}

***

Entry 25:
{
  "formula": "BaAlTl",
  "functional": "PBE-GGA",
  "state": "optimized geometry",
  "cell": [[4.7500, 0.0000, 0.0000], [-2.3750, 4.1136, 0.0000], [0.0000, 0.0000, 5.2702]],
  "species": ["Tl", "Ba", "Al"],
  "fractional_positions": [[0.3333, 0.6667, 0.8330], [0.6667, 0.3333, 0.3334], [0.0000, 0.0000, 0.8335]],
  "dos_at_fermi_per_ev_cell": 1.663,
  "delta_e_f_mev_per_atom": -235.1,
  "m_tot_mub_per_fu": 0.000
}